Record 1
First-principles (PBE) data for Nd2CuIrO6 after structural relaxation, as listed in Alexandria via LeMat-Bulk.

Energy relative to the elements, uncorrected = -189.8 kJ per mole of atoms

```
10
Lattice="2.8735 1.6590 4.3492 -2.8735 1.6590 4.3492 0.0000 -3.3180 4.3492" Properties=species:S:1:pos:R:3 pbc="T T T"
Nd 0.0000 0.0000 0.0000
Nd 0.0000 0.0000 6.5258
Cu 0.0000 0.0000 3.2211
Ir 0.0000 0.0000 9.6855
O -1.1508 -2.0306 6.3342
O -1.6379 0.3090 8.5287
O -1.1832 2.0120 6.3342
O 0.5514 -1.5730 8.5287
O 2.3340 0.0187 6.3342
O 1.0866 1.2640 8.5287
```


Record 2
First-principles (PBE) data for LiCrBiOs2 after structural relaxation, as listed in Alexandria via LeMat-Bulk.

Energy relative to the elements = 1.129 eV per atom

```
5
Lattice="4.5046 0.0000 0.0000 0.0000 4.5046 0.0000 0.0000 0.0000 4.6247" Properties=species:S:1:pos:R:3 pbc="T T T"
Li 0.0000 0.0000 0.0000
Cr 0.0000 0.0000 2.3124
Bi 2.2523 2.2523 0.0000
Os 0.0000 2.2523 2.3124
Os 2.2523 0.0000 2.3124
```


Record 3
First-principles (PBE) data for Li5La2Hg4 after structural relaxation, as listed in Alexandria via LeMat-Bulk.

Energy relative to the elements = -0.326 eV per atom

```
11
Lattice="0.0000 4.8668 8.9693 2.9068 0.0000 8.9693 2.9068 4.8668 0.0000" Properties=species:S:1:pos:R:3 pbc="T T T"
Li 0.0000 0.0000 0.0000
Li 1.4534 2.4334 0.0000
Li 1.4534 2.4334 4.4847
Li 1.4534 2.4334 8.9693
Li 4.3602 7.3003 13.4540
La 2.9068 4.8668 6.4529
La 2.9068 4.8668 11.4857
Hg 2.9068 1.5729 6.6593
Hg 2.9068 1.5729 11.2793
Hg 2.9068 8.1608 6.6593
Hg 2.9068 8.1608 11.2793
```


Record 4
First-principles (PBE) data for Ag2TeS after structural relaxation, as listed in Alexandria via LeMat-Bulk.

Energy relative to the elements, uncorrected = 33.4 kJ per mole of atoms

```
4
Lattice="0.0000 3.4832 3.4832 3.4832 0.0000 3.4832 3.4832 3.4832 0.0000" Properties=species:S:1:pos:R:3 pbc="T T T"
Ag 1.7416 1.7416 1.7416
Ag 5.2248 5.2248 5.2248
Te 0.0000 0.0000 0.0000
S 3.4832 3.4832 3.4832
```


Record 5
First-principles (PBE) data for Pm5Y4Mg after structural relaxation, as listed in Alexandria via LeMat-Bulk.

Energy relative to the elements = -0.003 eV per atom

```
10
Lattice="3.6322 0.0000 0.0000 0.0000 3.6322 0.0000 0.0000 0.0000 24.6625" Properties=species:S:1:pos:R:3 pbc="T T T"
Pm 0.0000 0.0000 0.0000
Pm 0.0000 0.0000 5.0673
Pm 0.0000 0.0000 10.1321
Pm 0.0000 0.0000 14.5304
Pm 0.0000 0.0000 19.5952
Y 1.8161 1.8161 2.5364
Y 1.8161 1.8161 7.6159
Y 1.8161 1.8161 17.0466
Y 1.8161 1.8161 22.1261
Mg 1.8161 1.8161 12.3312
```


Record 6
First-principles (PBE) data for CoNi2Os after structural relaxation, as listed in Alexandria via LeMat-Bulk.

Energy relative to the elements = 0.099 eV per atom

```
4
Lattice="2.5836 0.0000 0.0000 0.0000 3.5941 0.0000 0.0000 0.0000 5.0473" Properties=species:S:1:pos:R:3 pbc="T T T"
Co 0.0000 0.0000 0.0000
Ni 0.0000 0.0000 2.5202
Ni 1.2918 1.7971 1.2967
Os 1.2918 1.7971 3.8380
```


Record 7
First-principles (PBE) data for Mn2Ni2I after structural relaxation, as listed in Alexandria via LeMat-Bulk.

Energy relative to the elements, uncorrected = 46.9 kJ per mole of atoms

```
10
Lattice="7.1138 0.0000 0.0000 0.0000 7.1138 0.0000 0.0000 0.0000 3.2153" Properties=species:S:1:pos:R:3 pbc="T T T"
Mn 1.0124 2.5445 0.0000
Mn 2.5445 6.1014 0.0000
Mn 4.5693 1.0124 0.0000
Mn 6.1014 4.5693 0.0000
Ni 0.9385 4.4954 1.6077
Ni 2.6184 0.9385 1.6077
Ni 4.4954 6.1753 1.6077
Ni 6.1753 2.6184 1.6077
I 0.0000 0.0000 0.0000
I 3.5569 3.5569 0.0000
```


Record 8
First-principles (PBE) data for CoNi2PtSe6 after structural relaxation, as listed in Alexandria via LeMat-Bulk.

Energy relative to the elements, uncorrected = -23.4 kJ per mole of atoms

```
20
Lattice="5.8361 -5.4399 0.0000 5.8361 5.4399 0.0000 -1.5982 0.0000 6.0815" Properties=species:S:1:pos:R:3 pbc="T T T"
Co 4.6375 4.4964 4.5611
Co 5.4366 -4.4964 1.5204
Ni 2.5643 1.0160 4.1363
Ni 3.3634 -1.0160 1.0956
Ni 6.7107 1.0160 4.9859
Ni 7.5098 -1.0160 1.9451
Pt 5.4366 2.6260 1.5204
Pt 4.6375 -2.6260 4.5611
Se 0.2684 0.8745 3.8067
Se 2.9455 2.9906 5.2324
Se 1.0675 -0.8745 0.7660
Se 3.9146 0.7944 2.3671
Se 6.3295 2.9906 3.8898
Se 3.1155 -0.7944 5.4078
Se 6.9586 0.7944 0.6737
Se 3.7446 -2.9906 2.1917
Se 6.1595 -0.7944 3.7144
Se 9.0066 0.8745 5.3154
Se 7.1286 -2.9906 0.8491
Se 9.8057 -0.8745 2.2747
```


Number 1: magnetic moment 2.02 μB/f.u.. Number 2: magnetic moment 1.19 μB/f.u.. Number 3: magnetic moment 0.00 μB/f.u.. Number 4: magnetic moment 0.00 μB/f.u.. Number 5: magnetic moment 0.00 μB/f.u.. Number 6: magnetic moment 0.95 μB/f.u.. Number 7: magnetic moment 8.86 μB/f.u.. Number 8: magnetic moment 0.00 μB/f.u..